Ac4HfSe8: relaxed, PBE.

Cell: 8.244 8.244 8.244 Å, 103.77 103.77 121.59°
Atoms (fractional coordinates):
Ac 0.000 0.000 0.500
Ac 0.000 0.500 0.000
Ac 0.500 0.000 0.000
Ac 0.500 0.500 0.500
Hf 0.000 0.000 0.000
Se 0.000 0.255 0.255
Se 0.000 0.745 0.745
Se 0.254 0.500 0.754
Se 0.255 0.000 0.255
Se 0.500 0.254 0.754
Se 0.500 0.746 0.246
Se 0.745 0.000 0.745
Se 0.746 0.500 0.246

Summary:
For the energy relative to the elements, uncorrected, the calculation gives -1.493 eV per atom. For the total magnetization, the calculation gives 1.78 μB per formula unit.



CsNa: relaxed, PBE.

Cell: 4.764 4.764 15.201 Å, 90.00 90.00 120.00°
Atoms (fractional coordinates):
Cs 0.333 0.667 0.000
Cs 0.667 0.333 0.500
Na 0.333 0.667 0.730
Na 0.667 0.333 0.230

Summary:
For the formation enthalpy at 0 K, the calculation gives 31 kJ/mol of formula units. For the total magnetization, the calculation gives 0.00 μB per formula unit.



CaCr2P: relaxed, PBE.

Cell: 3.162 3.162 6.334 Å, 90.00 90.00 90.00°
Atoms (fractional coordinates):
Ca 0.000 0.000 0.000
Cr 0.500 0.500 0.337
Cr 0.500 0.500 0.663
P 0.000 0.000 0.500

Summary:
For the formation enthalpy at 0 K, the calculation gives 65 kJ/mol of formula units. For the total magnetization, the calculation gives 0.00 μB per formula unit.



Ti2Ag2Pt: relaxed, PBE.

Cell: 7.153 7.153 3.365 Å, 90.00 90.00 90.00°
Atoms (fractional coordinates):
Ti 0.173 0.327 0.000
Ti 0.327 0.827 0.000
Ti 0.673 0.173 0.000
Ti 0.827 0.673 0.000
Ag 0.131 0.631 0.500
Ag 0.369 0.131 0.500
Ag 0.631 0.869 0.500
Ag 0.869 0.369 0.500
Pt 0.000 0.000 0.500
Pt 0.500 0.500 0.500

Summary:
For the formation enthalpy at 0 K, the calculation gives 35 kJ/mol of formula units. For the total magnetization, the calculation gives 0.01 μB per formula unit.



Ti5Al2W: relaxed, PBE.

Cell: 4.618 4.618 12.353 Å, 90.00 90.00 90.00°
Atoms (fractional coordinates):
Ti 0.000 0.000 0.000
Ti 0.000 0.500 0.121
Ti 0.000 0.500 0.379
Ti 0.000 0.500 0.621
Ti 0.000 0.500 0.879
Ti 0.500 0.000 0.121
Ti 0.500 0.000 0.379
Ti 0.500 0.000 0.621
Ti 0.500 0.000 0.879
Ti 0.500 0.500 0.500
Al 0.000 0.000 0.251
Al 0.000 0.000 0.749
Al 0.500 0.500 0.249
Al 0.500 0.500 0.751
W 0.000 0.000 0.500
W 0.500 0.500 0.000

Summary:
For the formation enthalpy at 0 K, the calculation gives -179 kJ/mol of formula units. For the total magnetization, the calculation gives 1.32 μB per formula unit.



Mg2TlTe: relaxed, PBE.

Cell: 4.042 4.042 6.575 Å, 90.00 90.00 90.00°
Atoms (fractional coordinates):
Mg 0.000 0.000 0.000
Mg 0.500 0.500 0.324
Tl 0.500 0.500 0.813
Te 0.000 0.000 0.442

Summary:
The value obtained for the relative energy among the computed polymorphs is 47.6 meV/atom. For the energy relative to the elements, uncorrected, the calculation gives -0.236 eV per atom. For the total magnetization, the calculation gives 0.00 μB per formula unit.



ThVCo3: relaxed, PBE.

Cell: 5.650 5.650 5.686 Å, 90.00 90.00 120.00°
Atoms (fractional coordinates):
Th 0.333 0.667 0.250
Th 0.667 0.333 0.750
V 0.000 0.000 0.000
V 0.000 0.000 0.500
Co 0.188 0.375 0.750
Co 0.188 0.812 0.750
Co 0.375 0.188 0.250
Co 0.625 0.812 0.750
Co 0.812 0.188 0.250
Co 0.812 0.625 0.250

Summary:
For the formation enthalpy at 0 K, the calculation gives -40 kJ/mol of formula units. For the total magnetization, the calculation gives 0.00 μB per formula unit.



KAsIO2: relaxed, PBE.

Cell: 4.653 4.653 7.215 Å, 90.00 90.00 90.00°
Atoms (fractional coordinates):
K 0.000 0.000 0.000
As 0.500 0.500 0.500
I 0.000 0.000 0.500
O 0.000 0.500 0.000
O 0.500 0.000 0.000

Summary:
The value obtained for the relative energy among the computed polymorphs is 1864.9 meV/atom. For the energy relative to the elements, uncorrected, the calculation gives 0.762 eV per atom. For the total magnetization, the calculation gives 4.49 μB per formula unit.